(1)
Material: Nb5As4Pd4
Method: DFT, meta-GGA SCAN
State: single point on PBEsol structure

Unit cell a=3.7745 b=7.6322 c=7.6322 alpha=86.49 beta=75.68 gamma=75.68
Fractional positions:
Nb  0.3803  0.3095  0.9299
Nb  0.3102  0.0701  0.3095
Nb  0.6898  0.9299  0.6905
Nb  0.0000  0.0000  0.0000
Nb  0.6197  0.6905  0.0701
As  0.7554  0.3102  0.1790
As  0.0656  0.1790  0.6898
As  0.2446  0.6898  0.8210
As  0.9344  0.8210  0.3102
Pd  0.8891  0.5170  0.7048
Pd  0.4061  0.7048  0.4830
Pd  0.5939  0.2952  0.5170
Pd  0.1109  0.4830  0.2952

formation enthalpy at 0 K: -0.603 eV/atom
space-group type: I4/m



(2)
Material: NbAs3Pd
Method: DFT, meta-GGA SCAN
State: single point on PBEsol structure

Unit cell a=4.7216 b=4.7216 c=4.7216 alpha=90.00 beta=90.00 gamma=90.00
Fractional positions:
Pd  0.0000  0.0000  0.0000
Nb  0.5000  0.5000  0.5000
As  0.5000  0.0000  0.0000
As  0.0000  0.5000  0.0000
As  0.0000  0.0000  0.5000

formation enthalpy at 0 K: 0.741 eV/atom
space-group type: Pm-3m



(3)
Material: NbTeAs2Pd
Method: DFT, meta-GGA SCAN
State: single point on PBEsol structure

Unit cell a=4.6574 b=4.6574 c=5.2875 alpha=90.00 beta=90.00 gamma=90.00
Fractional positions:
As  0.5000  0.0000  0.0000
As  0.0000  0.5000  0.0000
Te  0.5000  0.5000  0.5000
Nb  0.0000  0.0000  0.5000
Pd  0.0000  0.0000  0.0000

space-group type: P4/mmm
ΔE_f (raw): 0.63 eV per atom



(4)
Material: Rb7NbAs4
Method: DFT, meta-GGA SCAN
State: single point on PBEsol structure

Unit cell a=8.5521 b=9.4271 c=10.5082 alpha=90.00 beta=90.00 gamma=90.00
Fractional positions:
As  0.4245  0.4180  0.5000
As  0.4080  0.8039  0.3017
As  0.9245  0.5820  0.0000
As  0.9080  0.1961  0.1983
As  0.4080  0.8039  0.6983
As  0.2914  0.3164  0.0000
As  0.7914  0.6836  0.5000
As  0.9080  0.1961  0.8017
Rb  0.6250  0.4679  0.7896
Rb  0.7941  0.8337  0.2138
Rb  0.8371  0.3397  0.5000
Rb  0.2941  0.1663  0.2862
Rb  0.1250  0.5321  0.2896
Rb  0.6049  0.1022  0.0000
Rb  0.3371  0.6603  0.0000
Rb  0.1250  0.5321  0.7104
Rb  0.2941  0.1663  0.7138
Rb  0.1264  0.9667  0.0000
Rb  0.1049  0.8978  0.5000
Rb  0.6264  0.0333  0.5000
Rb  0.7941  0.8337  0.7862
Rb  0.6250  0.4679  0.2104
Nb  0.0005  0.3250  0.0000
Nb  0.5005  0.6750  0.5000

formation enthalpy at 0 K: -0.552 eV/atom
space-group type: Pmn2_1



(5)
Material: Rb3Nb2AsSe11
Method: DFT, meta-GGA SCAN
State: single point on PBEsol structure

Unit cell a=9.8766 b=10.0060 c=10.0060 alpha=96.64 beta=96.49 gamma=83.51
Fractional positions:
Se  0.6474  0.1277  0.0316
Se  0.6392  0.4511  0.8880
Se  0.3254  0.1828  0.2384
Se  0.5711  0.2809  0.5318
Se  0.1392  0.1120  0.5489
Se  0.8254  0.7616  0.8172
Se  0.7504  0.4009  0.2776
Se  0.6013  0.9739  0.3576
Se  0.3440  0.3537  0.5849
Se  0.9814  0.3093  0.0227
Se  0.4814  0.9773  0.6907
Se  0.8986  0.7794  0.5965
Se  0.2958  0.5936  0.8986
Se  0.8170  0.6815  0.0983
Se  0.7958  0.1014  0.4064
Se  0.3986  0.4035  0.2206
Se  0.0711  0.4682  0.7191
Se  0.1013  0.6424  0.0261
Se  0.3170  0.9017  0.3185
Se  0.1474  0.9684  0.8723
Se  0.8440  0.4151  0.6463
Se  0.2504  0.7224  0.5991
Rb  0.8163  0.1066  0.7527
Rb  0.0764  0.4890  0.3540
Rb  0.9796  0.0015  0.1451
Rb  0.5764  0.6460  0.5110
Rb  0.4796  0.8549  0.9985
Rb  0.3163  0.2473  0.8934
Nb  0.3986  0.0999  0.5053
Nb  0.0883  0.7485  0.7935
Nb  0.8986  0.4947  0.9001
Nb  0.5883  0.2065  0.2515
As  0.6279  0.5429  0.1191
As  0.1279  0.8809  0.4571

space-group type: Cc
ΔE_f (raw): -0.85 eV per atom



(6)
Material: Rb2NbTcAs
Method: DFT, meta-GGA SCAN
State: single point on PBEsol structure

Unit cell a=4.6331 b=6.3019 c=6.3019 alpha=90.00 beta=90.00 gamma=90.00
Fractional positions:
Rb  0.0000  0.5000  0.0000
Rb  0.0000  0.0000  0.5000
As  0.0000  0.0000  0.0000
Nb  0.5000  0.5000  0.5000
Tc  0.5000  0.0000  0.0000

formation enthalpy at 0 K: 1.307 eV/atom
space-group type: P4/mmm



Number 1: total moment 0.00 μB per cell. Number 2: total moment 1.74 μB per cell. Number 3: total moment 2.08 μB per cell. Number 4: total moment 0.00 μB per cell. Number 5: total moment 0.00 μB per cell. Number 6: total moment 5.47 μB per cell.